Here is a relaxed structure of PaWSe2 from Alexandria via LeMat-Bulk. Energies are from PBE.

Cell and atoms, written as extended XYZ:
```
4
Lattice="3.303 0.000 0.000 1.651 2.860 0.000 1.651 0.953 9.228" Properties=species:S:1:pos:R:3 pbc="T T T"
Pa 3.303 1.907 4.614
Se 1.651 0.953 6.783
Se 4.954 2.860 2.445
W 0.000 0.000 0.000
```

## Properties
* E_form (uncorrected): 0.094 eV per atom
* E_tot: -29.042 eV per cell